TaBeRe3 after structural relaxation, computed with PBE.

Energy relative to the lowest polymorph listed for this composition ... 0.00 eV/f.u.
Calculated formation energy ... 41.46 kJ per mole of atoms
Total moment ... 0.0000 μB per atom

Unit cell a=4.184 b=4.184 c=4.184 alpha=90.00 beta=90.00 gamma=90.00
Space group Pm-3m (No. 221)
Asymmetric unit:
Ta (0.000, 0.000, 0.000) x1
Be (0.500, 0.500, 0.500) x1
Re (0.000, 0.500, 0.500) x3



Lu3V5Pt12 after structural relaxation, computed with PBE.

Calculated formation energy ... -13.47 kJ per mole of atoms
Total moment ... 0.1574 μB per atom

Unit cell a=14.943 b=14.943 c=14.943 alpha=90.00 beta=90.00 gamma=90.00
Space group Ia-3d (No. 230)
Asymmetric unit:
Lu (0.000, 0.250, 0.125) x24
V (0.000, 0.000, 0.000) x16
V (0.000, 0.250, 0.375) x24
Pt (0.019, 0.069, 0.650) x96



MgSbPb2 after structural relaxation, computed with PBE.

Uncorrected formation energy ... 0.32 eV per formula unit
Energy relative to the lowest polymorph listed for this composition ... 0.45 eV/f.u.
Total moment ... 0.0000 μB per atom

Unit cell a=3.4596 b=3.4596 c=32.9236 alpha=90.00 beta=90.00 gamma=120.00
Space group R-3m (No. 166, hexagonal axes)
Asymmetric unit:
Mg (0.0000, 0.0000, 0.0000) x3
Sb (0.0000, 0.0000, 0.5000) x3
Pb (0.0000, 0.0000, 0.2520) x6



LaHoTmMg after structural relaxation, computed with PBE.

Energy relative to the lowest polymorph listed for this composition ... 0.00 eV/f.u.
Calculated formation energy ... -0.91 kJ per mole of atoms
Total moment ... 0.0001 μB per atom

Unit cell a=3.688 b=3.688 c=8.944 alpha=90.00 beta=90.00 gamma=90.00
Space group P4mm (No. 99)
Asymmetric unit:
La (0.000, 0.000, 0.000) x1
Ho (0.500, 0.500, 0.716) x1
Tm (0.500, 0.500, 0.280) x1
Mg (0.000, 0.000, 0.496) x1



ZrTl2Cl6 after structural relaxation, computed with PBE.

Uncorrected formation energy ... -13.35 eV per formula unit
Energy relative to the lowest polymorph listed for this composition ... 0.22 eV/f.u.
Total moment ... 0.0000 μB per atom

Unit cell a=6.991 b=6.991 c=13.292 alpha=90.00 beta=90.00 gamma=90.00
Space group P4_2/mnm (No. 136)
Asymmetric unit:
Zr (0.000, 0.000, 0.000) x2
Tl (0.000, 0.000, 0.334) x4
Cl (0.176, 0.176, 0.135) x8
Cl (0.248, 0.248, 0.500) x4



La2CuAg3 after structural relaxation, computed with PBE.

Energy relative to the lowest polymorph listed for this composition ... 0.03 eV/f.u.
Calculated formation energy ... -24.32 kJ per mole of atoms
Total moment ... 0.0000 μB per atom

Unit cell a=7.564 b=9.453 c=16.314 alpha=90.00 beta=90.00 gamma=90.00
Space group Fmmm (No. 69)
Asymmetric unit:
La (0.250, 0.000, 0.000) x8
La (0.250, 0.250, 0.250) x8
Cu (0.000, 0.000, 0.166) x8
Ag (0.000, 0.000, 0.329) x8
Ag (0.000, 0.243, 0.086) x16



KReSe2 after structural relaxation, computed with PBE.

Uncorrected formation energy ... 1.75 eV per formula unit
Energy relative to the lowest polymorph listed for this composition ... 2.81 eV/f.u.
Total moment ... 0.0000 μB per atom

Unit cell a=3.1618 b=3.1618 c=29.6512 alpha=90.00 beta=90.00 gamma=120.00
Space group R-3m (No. 166, hexagonal axes)
Asymmetric unit:
K (0.0000, 0.0000, 0.0000) x3
Re (0.0000, 0.0000, 0.5000) x3
Se (0.0000, 0.0000, 0.4201) x6



Rb5InO4 after structural relaxation, computed with PBE.

Uncorrected formation energy ... -10.29 eV per formula unit
Energy relative to the lowest polymorph listed for this composition ... 1.90 eV/f.u.
Total moment ... 0.0235 μB per atom

Unit cell a=17.578 b=3.795 c=7.589 alpha=90.00 beta=103.77 gamma=90.00
Space group C2/m (No. 12)
Asymmetric unit:
Rb (0.000, 0.000, 0.000) x2
Rb (0.150, 0.500, 0.815) x4
Rb (0.156, 0.500, 0.358) x4
In (0.000, 0.000, 0.500) x2
O (0.001, 0.500, 0.289) x4
O (0.129, 0.000, 0.574) x4



AlCuAs2 after structural relaxation, computed with PBE.

Calculated formation energy ... 19.92 kJ per mole of atoms
Total moment ... 0.0000 μB per atom

Unit cell a=3.783 b=4.933 c=7.321 alpha=90.00 beta=90.00 gamma=90.00
Space group Cmmm (No. 65)
Asymmetric unit:
Al (0.000, 0.000, 0.000) x2
Cu (0.000, 0.000, 0.500) x2
As (0.000, 0.500, 0.264) x4



InHgB after structural relaxation, computed with PBE.

Calculated formation energy ... 48.48 kJ per mole of atoms
Total moment ... 0.0000 μB per atom

Unit cell a=3.736 b=5.658 c=6.211 alpha=90.26 beta=100.96 gamma=108.75
Space group P1 (No. 1)
Asymmetric unit:
In (0.000, 0.000, 0.000) x1
In (0.148, 0.533, 0.706) x1
Hg (0.721, 0.948, 0.420) x1
Hg (0.811, 0.461, 0.195) x1
B (0.405, 0.968, 0.733) x1
B (0.533, 0.268, 0.762) x1



BaCaSn2Rh after structural relaxation, computed with PBE.

Calculated formation energy ... -45.51 kJ per mole of atoms
Total moment ... 0.0000 μB per atom

Unit cell a=5.297 b=5.297 c=5.314 alpha=90.00 beta=90.00 gamma=90.00
Space group P4/mmm (No. 123)
Asymmetric unit:
Ba (0.000, 0.000, 0.000) x1
Ca (0.500, 0.500, 0.000) x1
Sn (0.000, 0.500, 0.500) x2
Rh (0.500, 0.500, 0.500) x1



Ba2Sr2Ga3 after structural relaxation, computed with PBE.

Energy relative to the lowest polymorph listed for this composition ... 0.00 eV/f.u.
Calculated formation energy ... -28.85 kJ per mole of atoms
Total moment ... 0.0000 μB per atom

Unit cell a=15.322 b=4.148 c=9.064 alpha=90.00 beta=117.24 gamma=90.00
Space group C2/m (No. 12)
Asymmetric unit:
Ba (0.107, 0.000, 0.301) x4
Sr (0.165, 0.000, 0.787) x4
Ga (0.000, 0.500, 0.500) x2
Ga (0.080, 0.500, 0.976) x4



SmPuZn after structural relaxation, computed with PBE.

Energy relative to the lowest polymorph listed for this composition ... 0.00 eV/f.u.
Calculated formation energy ... -3.93 kJ per mole of atoms
Total moment ... 2.0545 μB per atom

Unit cell a=3.569 b=3.569 c=12.209 alpha=90.00 beta=90.00 gamma=90.00
Space group I4mm (No. 107)
Asymmetric unit:
Sm (0.000, 0.000, 0.000) x2
Pu (0.000, 0.000, 0.706) x2
Zn (0.000, 0.000, 0.352) x2



V5B2Mo after structural relaxation, computed with PBE.

Calculated formation energy ... -20.56 kJ per mole of atoms
Total moment ... 0.0000 μB per atom

Unit cell a=3.109 b=7.151 c=8.472 alpha=90.00 beta=90.00 gamma=90.00
Space group Immm (No. 71)
Asymmetric unit:
V (0.000, 0.000, 0.000) x2
V (0.000, 0.311, 0.340) x8
B (0.000, 0.000, 0.281) x4
Mo (0.000, 0.500, 0.000) x2



KAgS3 after structural relaxation, computed with PBE.

Uncorrected formation energy ... -1.93 eV per formula unit
Energy relative to the lowest polymorph listed for this composition ... 0.00 eV/f.u.
Total moment ... 0.0000 μB per atom

Unit cell a=5.560 b=6.679 c=15.399 alpha=90.00 beta=99.39 gamma=90.00
Space group P2_1/c (No. 14)
Asymmetric unit:
K (0.237, 0.238, 0.487) x4
Ag (0.159, 0.077, 0.216) x4
S (0.040, 0.070, 0.663) x4
S (0.305, 0.645, 0.603) x4
S (0.377, 0.571, 0.156) x4



Sr2LaYSb after structural relaxation, computed with PBE.

Uncorrected formation energy ... -0.09 eV per formula unit
Total moment ... 0.2785 μB per atom

Unit cell a=6.184 b=6.184 c=5.847 alpha=90.00 beta=90.00 gamma=90.00
Space group P4/mmm (No. 123)
Asymmetric unit:
Sr (0.000, 0.500, 0.000) x2
La (0.000, 0.000, 0.500) x1
Y (0.500, 0.500, 0.500) x1
Sb (0.500, 0.500, 0.000) x1



Pm3Y4Se8 after structural relaxation, computed with PBE.

Uncorrected formation energy ... -27.88 eV per formula unit
Total moment ... 0.0000 μB per atom

Unit cell a=11.666 b=11.671 c=8.238 alpha=90.00 beta=134.87 gamma=90.00
Space group C2/m (No. 12)
Asymmetric unit:
Pm (0.000, 0.000, 0.000) x2
Pm (0.250, 0.250, 0.000) x4
Y (0.000, 0.500, 0.000) x2
Y (0.000, 0.500, 0.500) x2
Y (0.250, 0.250, 0.500) x4
Se (0.000, 0.249, 0.500) x4
Se (0.000, 0.253, 0.000) x4
Se (0.247, 0.500, 0.001) x4
Se (0.248, 0.500, 0.494) x4



NpMnGa after structural relaxation, computed with PBE.

Calculated formation energy ... 1.42 kJ per mole of atoms
Total moment ... 0.5304 μB per atom

Unit cell a=3.002 b=3.002 c=11.143 alpha=90.00 beta=90.00 gamma=90.00
Space group I4mm (No. 107)
Asymmetric unit:
Np (0.000, 0.000, 0.000) x2
Mn (0.000, 0.000, 0.345) x2
Ga (0.000, 0.000, 0.711) x2



YbMgGe after structural relaxation, computed with PBE.

Calculated formation energy ... -57.53 kJ per mole of atoms
Total moment ... 0.0773 μB per atom

Unit cell a=7.371 b=4.406 c=8.433 alpha=90.00 beta=90.00 gamma=90.00
Space group Pnma (No. 62)
Asymmetric unit:
Yb (0.023, 0.250, 0.180) x4
Mg (0.144, 0.250, 0.562) x4
Ge (0.236, 0.750, 0.382) x4



Nd4DyIn3 after structural relaxation, computed with PBE.

Energy relative to the lowest polymorph listed for this composition ... 0.00 eV/f.u.
Calculated formation energy ... -31.43 kJ per mole of atoms
Total moment ... 0.0468 μB per atom

Unit cell a=5.5044 b=5.5044 c=27.5766 alpha=90.00 beta=90.00 gamma=120.00
Space group R-3m (No. 166, hexagonal axes)
Asymmetric unit:
Nd (0.0000, 0.0000, 0.1177) x6
Nd (0.0000, 0.0000, 0.3693) x6
Dy (0.0000, 0.0000, 0.5000) x3
In (0.0000, 0.0000, 0.0000) x3
In (0.0000, 0.0000, 0.2408) x6